No. 1
Below is a relaxed structure of CeDy5YHo2, with properties calculated at the PBE-GGA level.

abc: 11.1369 11.1369 9.5108
angles: 90.00 90.00 150.45
Fractional positions:
Ce 0.1917 0.8083 0.5000
Ce 0.8083 0.1917 0.0000
Dy 0.0129 0.9871 0.4920
Dy 0.2668 0.7332 0.8113
Dy 0.3062 0.6938 0.1944
Dy 0.3949 0.6051 0.5242
Dy 0.4707 0.5293 0.2273
Dy 0.5293 0.4707 0.7273
Dy 0.6051 0.3949 0.0242
Dy 0.6938 0.3062 0.6944
Dy 0.7332 0.2668 0.3113
Dy 0.9871 0.0129 0.9920
Y 0.4028 0.5972 0.9068
Y 0.5972 0.4028 0.4068
Ho 0.1137 0.8863 0.8011
Ho 0.1348 0.8652 0.1851
Ho 0.8652 0.1348 0.6851
Ho 0.8863 0.1137 0.3011

Results
As for the density of states at the Fermi level: 1.71 states/eV/atom. As for the space group: Cmc2_1 (36). The uncorrected energy is -4.78 eV/atom.

=====

No. 2
Below is a relaxed structure of K2LaScTa, with properties calculated at the PBE-GGA level.

abc: 5.7033 5.7033 5.8216
angles: 90.00 90.00 90.00
Fractional positions:
K 0.0000 0.5000 0.0000
K 0.5000 0.0000 0.0000
La 0.0000 0.0000 0.5000
Sc 0.0000 0.0000 0.0000
Ta 0.5000 0.5000 0.5000

Results
As for the density of states at the Fermi level: 1.82 states/eV/atom. As for the space group: P4/mmm (123). The uncorrected energy is -3.05 eV/atom.

=====

No. 3
Below is a relaxed structure of Er2Sn5Pd12, with properties calculated at the PBE-GGA level.

abc: 7.6908 7.6908 6.7872
angles: 90.10 90.10 65.12
Fractional positions:
Er 0.2277 0.7723 0.0000
Er 0.7723 0.2277 0.0000
Sn 0.0000 0.0000 0.5000
Sn 0.2352 0.2352 0.4551
Sn 0.3354 0.3354 0.8759
Sn 0.6646 0.6646 0.1241
Sn 0.7648 0.7648 0.5449
Pd 0.0902 0.4857 0.1747
Pd 0.1261 0.1261 0.8064
Pd 0.1717 0.6075 0.5706
Pd 0.3925 0.8283 0.4294
Pd 0.4631 0.4631 0.2648
Pd 0.4857 0.0902 0.1747
Pd 0.5143 0.9098 0.8253
Pd 0.5369 0.5369 0.7352
Pd 0.6075 0.1717 0.5706
Pd 0.8283 0.3925 0.4294
Pd 0.8739 0.8739 0.1936
Pd 0.9098 0.5143 0.8253

Results
As for the density of states at the Fermi level: 0.40 states/eV/atom. As for the space group: C2/m (12). The uncorrected energy is -5.31 eV/atom.

=====

No. 4
Below is a relaxed structure of Cu2SbPd4, with properties calculated at the PBE-GGA level.

abc: 6.3208 6.3208 5.7737
angles: 90.00 90.00 90.00
Fractional positions:
Cu 0.0000 0.5000 0.0000
Cu 0.0000 0.5000 0.5000
Cu 0.5000 0.0000 0.0000
Cu 0.5000 0.0000 0.5000
Sb 0.0000 0.0000 0.0000
Sb 0.5000 0.5000 0.5000
Pd 0.2500 0.2500 0.2500
Pd 0.2500 0.2500 0.7500
Pd 0.2500 0.7500 0.2500
Pd 0.2500 0.7500 0.7500
Pd 0.7500 0.2500 0.2500
Pd 0.7500 0.2500 0.7500
Pd 0.7500 0.7500 0.2500
Pd 0.7500 0.7500 0.7500

Results
The relative energy among the computed polymorphs comes out at 0.0 meV per atom. For the raw formation energy, the calculation gives -166 meV per atom. As for the density of states at the Fermi level: 0.56 states/eV/atom. As for the space group: I4/mmm (139).

=====

No. 5
Below is a relaxed structure of ZnCu4Ni3, with properties calculated at the PBE-GGA level.

abc: 17.2763 2.5672 4.3476
angles: 90.00 104.48 90.00
Fractional positions:
Zn 0.0000 0.0000 0.0000
Zn 0.5000 0.5000 0.0000
Cu 0.1263 0.0000 0.4698
Cu 0.1275 0.5000 0.9661
Cu 0.3725 0.0000 0.0339
Cu 0.3737 0.5000 0.5302
Cu 0.6263 0.5000 0.4698
Cu 0.6275 0.0000 0.9661
Cu 0.8725 0.5000 0.0339
Cu 0.8737 0.0000 0.5302
Ni 0.0000 0.5000 0.5000
Ni 0.2500 0.0000 0.2517
Ni 0.2500 0.5000 0.7483
Ni 0.5000 0.0000 0.5000
Ni 0.7500 0.0000 0.7483
Ni 0.7500 0.5000 0.2517

Results
The relative energy among the computed polymorphs comes out at 6.2 meV per atom. As for the density of states at the Fermi level: 0.61 states/eV/atom. As for the space group: C2/m (12).

=====

No. 6
Below is a relaxed structure of Mg2IrW, with properties calculated at the PBE-GGA level.

abc: 2.9152 4.7714 9.8131
angles: 90.00 90.00 90.00
Fractional positions:
Mg 0.0000 0.0000 0.0000
Mg 0.0000 0.5000 0.2162
Mg 0.5000 0.0000 0.7162
Mg 0.5000 0.5000 0.5000
Ir 0.0000 0.0000 0.4825
Ir 0.5000 0.5000 0.9825
W 0.0000 0.5000 0.7647
W 0.5000 0.0000 0.2647

Results
As for the density of states at the Fermi level: 0.56 states/eV/atom. As for the space group: Imm2 (44). The uncorrected energy is -6.10 eV/atom.

=====

No. 7
Below is a relaxed structure of Ba12Te3Pt5, with properties calculated at the PBE-GGA level.

abc: 16.8404 16.8404 16.8404
angles: 109.47 109.47 109.47
Fractional positions:
Ba 0.0327 0.2092 0.1207
Ba 0.0327 0.3234 0.9120
Ba 0.0880 0.6207 0.4114
Ba 0.0880 0.9673 0.6766
Ba 0.0886 0.7092 0.6766
Ba 0.0886 0.8793 0.4120
Ba 0.1207 0.0327 0.2092
Ba 0.1207 0.5880 0.9114
Ba 0.1766 0.2092 0.5886
Ba 0.1766 0.4673 0.5880
Ba 0.2092 0.1207 0.0327
Ba 0.2092 0.5886 0.1766
Ba 0.2908 0.3234 0.9114
Ba 0.2908 0.4673 0.3793
Ba 0.3234 0.9114 0.2908
Ba 0.3234 0.9120 0.0327
Ba 0.3793 0.2908 0.4673
Ba 0.3793 0.5886 0.9120
Ba 0.4114 0.0880 0.6207
Ba 0.4114 0.8234 0.7908
Ba 0.4120 0.0886 0.8793
Ba 0.4120 0.8234 0.5327
Ba 0.4673 0.3793 0.2908
Ba 0.4673 0.5880 0.1766
Ba 0.5327 0.4120 0.8234
Ba 0.5327 0.6207 0.7092
Ba 0.5880 0.1766 0.4673
Ba 0.5880 0.9114 0.1207
Ba 0.5886 0.1766 0.2092
Ba 0.5886 0.9120 0.3793
Ba 0.6207 0.4114 0.0880
Ba 0.6207 0.7092 0.5327
Ba 0.6766 0.0880 0.9673
Ba 0.6766 0.0886 0.7092
Ba 0.7092 0.5327 0.6207
Ba 0.7092 0.6766 0.0886
Ba 0.7908 0.4114 0.8234
Ba 0.7908 0.8793 0.9673
Ba 0.8234 0.5327 0.4120
Ba 0.8234 0.7908 0.4114
Ba 0.8793 0.4120 0.0886
Ba 0.8793 0.9673 0.7908
Ba 0.9114 0.1207 0.5880
Ba 0.9114 0.2908 0.3234
Ba 0.9120 0.0327 0.3234
Ba 0.9120 0.3793 0.5886
Ba 0.9673 0.6766 0.0880
Ba 0.9673 0.7908 0.8793
Te 0.1250 0.2500 0.3750
Te 0.1250 0.3750 0.7500
Te 0.2500 0.3750 0.1250
Te 0.2500 0.8750 0.6250
Te 0.3750 0.1250 0.2500
Te 0.3750 0.7500 0.1250
Te 0.6250 0.2500 0.8750
Te 0.6250 0.8750 0.7500
Te 0.7500 0.1250 0.3750
Te 0.7500 0.6250 0.8750
Te 0.8750 0.6250 0.2500
Te 0.8750 0.7500 0.6250
Pt 0.0000 0.0000 0.0000
Pt 0.0000 0.0000 0.5000
Pt 0.0000 0.5000 0.0000
Pt 0.0000 0.5000 0.5000
Pt 0.1250 0.7500 0.8750
Pt 0.1250 0.8750 0.2500
Pt 0.2500 0.1250 0.8750
Pt 0.2500 0.6250 0.3750
Pt 0.3750 0.2500 0.6250
Pt 0.3750 0.6250 0.7500
Pt 0.5000 0.0000 0.0000
Pt 0.5000 0.0000 0.5000
Pt 0.5000 0.5000 0.0000
Pt 0.5000 0.5000 0.5000
Pt 0.6250 0.3750 0.2500
Pt 0.6250 0.7500 0.3750
Pt 0.7500 0.3750 0.6250
Pt 0.7500 0.8750 0.1250
Pt 0.8750 0.1250 0.7500
Pt 0.8750 0.2500 0.1250

Results
For the raw formation energy, the calculation gives -763 meV per atom. As for the density of states at the Fermi level: 0.97 states/eV/atom. As for the space group: Ia-3d (230).

=====

No. 8
Below is a relaxed structure of ZnP2Ru, with properties calculated at the PBE-GGA level.

abc: 3.1751 3.3017 5.5196
angles: 90.00 90.00 90.00
Fractional positions:
Zn 0.0000 0.0000 0.0000
P 0.5000 0.5000 0.2850
P 0.5000 0.5000 0.7150
Ru 0.0000 0.0000 0.5000

Results
As for the density of states at the Fermi level: 0.60 states/eV/atom. As for the space group: Pmmm (47). The uncorrected energy is -5.27 eV/atom.

=====

No. 9
Below is a relaxed structure of LiIn2Mo, with properties calculated at the PBE-GGA level.

abc: 4.2325 4.2325 18.9867
angles: 90.00 90.00 90.00
Fractional positions:
Li 0.0000 0.0000 0.0000
Li 0.0000 0.5000 0.2500
Li 0.5000 0.0000 0.7500
Li 0.5000 0.5000 0.5000
In 0.2444 0.2500 0.6250
In 0.2500 0.7444 0.8750
In 0.2500 0.7556 0.3750
In 0.2556 0.2500 0.1250
In 0.7444 0.7500 0.1250
In 0.7500 0.2444 0.3750
In 0.7500 0.2556 0.8750
In 0.7556 0.7500 0.6250
Mo 0.0000 0.0000 0.5000
Mo 0.0000 0.5000 0.7500
Mo 0.5000 0.0000 0.2500
Mo 0.5000 0.5000 0.0000

Results
The relative energy among the computed polymorphs comes out at 585.4 meV per atom. As for the density of states at the Fermi level: 0.60 states/eV/atom. As for the space group: I-42d (122).

=====

No. 10
Below is a relaxed structure of Te2PtS6, with properties calculated at the PBE-GGA level.

abc: 6.8690 6.8690 11.8910
angles: 119.18 119.18 30.94
Fractional positions:
Te 0.1389 0.1389 0.3187
Te 0.8611 0.8611 0.6813
Pt 0.5000 0.5000 0.0000
S 0.1348 0.1348 0.1017
S 0.2035 0.2035 0.6190
S 0.4705 0.4705 0.1824
S 0.5295 0.5295 0.8176
S 0.7965 0.7965 0.3810
S 0.8652 0.8652 0.8983

Results
For the raw formation energy, the calculation gives -48 meV per atom. As for the space group: C2/m (12).

=====

No. 11
Below is a relaxed structure of NaAgIrC2, with properties calculated at the PBE-GGA level.

abc: 3.9363 3.9363 5.6478
angles: 90.00 90.00 90.00
Fractional positions:
Na 0.0000 0.0000 0.0000
Ag 0.5000 0.5000 0.0000
Ir 0.0000 0.0000 0.5000
C 0.0000 0.5000 0.5000
C 0.5000 0.0000 0.5000

Results
As for the density of states at the Fermi level: 0.40 states/eV/atom. As for the space group: P4/mmm (123). The uncorrected energy is -5.03 eV/atom.

=====

No. 12
Below is a relaxed structure of TaSe2Br, with properties calculated at the PBE-GGA level.

abc: 3.2978 4.5687 5.2162
angles: 90.00 90.00 90.00
Fractional positions:
Ta 0.0000 0.0000 0.0000
Se 0.0000 0.5000 0.5000
Se 0.5000 0.0000 0.5000
Br 0.5000 0.5000 0.0000

Results
The relative energy among the computed polymorphs comes out at 1299.8 meV per atom. For the raw formation energy, the calculation gives 612 meV per atom. As for the density of states at the Fermi level: 0.88 states/eV/atom. As for the space group: Pmmm (47).

=====

Number 1: M_tot 1.3 μB per cell. Number 2: M_tot 1.0 μB per cell. Number 3: M_tot 0.0 μB per cell. Number 4: M_tot 0.0 μB per cell. Number 5: M_tot 0.8 μB per cell. Number 6: M_tot 0.0 μB per cell. Number 7: M_tot 2.1 μB per cell. Number 8: M_tot 0.0 μB per cell. Number 9: M_tot 1.1 μB per cell. Number 10: M_tot 0.0 μB per cell. Number 11: M_tot 0.0 μB per cell. Number 12: M_tot 0.1 μB per cell.